This record from the Alexandria database describes crystalline LaTa2I2 at its relaxed geometry. The functional is GGA-PBE.

The value obtained for the energy above the most stable polymorph in this dataset is 0.3499 eV per atom. As for the uncorrected formation energy: 0.770 eV per atom. As for the total magnetization: 0.0000 μB/atom. The density of states at the Fermi level is 6.05 states/eV/f.u.

Cell: 8.5416 8.5416 3.4245 Å, 90.00 90.00 90.00°
Sites, in units of the cell vectors:
1 La 0.0000 0.0000 0.0000
2 La 0.5000 0.5000 0.0000
3 Ta 0.1088 0.3912 0.0000
4 Ta 0.3912 0.8912 0.0000
5 Ta 0.6088 0.1088 0.0000
6 Ta 0.8912 0.6088 0.0000
7 I 0.1883 0.6883 0.5000
8 I 0.3117 0.1883 0.5000
9 I 0.6883 0.8117 0.5000
10 I 0.8117 0.3117 0.5000

=====

This record from the Alexandria database describes crystalline PmNbSi at its relaxed geometry. The functional is GGA-PBE.

As for the uncorrected formation energy: -0.564 eV per atom. As for the total magnetization: 0.1376 μB/atom. The density of states at the Fermi level is 2.87 states/eV/f.u.

Cell: 8.5820 8.5820 8.5820 Å, 152.90 152.90 38.70°
Sites, in units of the cell vectors:
1 Pm 0.1757 0.1757 0.0000
2 Pm 0.8243 0.8243 0.0000
3 Nb 0.0000 0.5000 0.5000
4 Nb 0.5000 0.0000 0.5000
5 Si 0.3826 0.3826 0.0000
6 Si 0.6174 0.6174 0.0000

=====

This record from the Alexandria database describes crystalline Li3YTl4 at its relaxed geometry. The functional is GGA-PBE.

As for the total magnetization: 0.0000 μB/atom. The density of states at the Fermi level is 2.95 states/eV/f.u. The value obtained for the energy of formation is -0.27 eV/atom.

Cell: 8.9129 8.9129 8.9129 Å, 32.65 32.65 32.65°
Sites, in units of the cell vectors:
1 Li 0.0000 0.0000 0.0000
2 Li 0.2497 0.2497 0.2497
3 Li 0.7503 0.7503 0.7503
4 Y 0.5000 0.5000 0.5000
5 Tl 0.1172 0.1172 0.1172
6 Tl 0.3709 0.3709 0.3709
7 Tl 0.6291 0.6291 0.6291
8 Tl 0.8828 0.8828 0.8828

=====

This record from the Alexandria database describes crystalline Cs2Tl3Cl10 at its relaxed geometry. The functional is GGA-PBE.

As for the uncorrected formation energy: -1.053 eV per atom. As for the total magnetization: 0.0000 μB/atom. The density of states at the Fermi level is 1.65 states/eV/f.u.

Cell: 13.2444 13.2444 10.7077 Å, 109.57 109.57 34.85°
Sites, in units of the cell vectors:
1 Cs 0.1240 0.1240 0.2389
2 Cs 0.2301 0.2301 0.8247
3 Cs 0.7699 0.7699 0.1753
4 Cs 0.8760 0.8760 0.7611
5 Tl 0.2448 0.7552 0.5000
6 Tl 0.3148 0.3148 0.4502
7 Tl 0.4185 0.4185 0.0023
8 Tl 0.5815 0.5815 0.9977
9 Tl 0.6852 0.6852 0.5498
10 Tl 0.7552 0.2448 0.5000
11 Cl 0.0000 0.5000 0.5000
12 Cl 0.0141 0.0141 0.6829
13 Cl 0.1171 0.6093 0.0393
14 Cl 0.1321 0.6530 0.4591
15 Cl 0.2587 0.2587 0.1914
16 Cl 0.2816 0.7184 0.0000
17 Cl 0.3470 0.8679 0.5409
18 Cl 0.3683 0.3683 0.7459
19 Cl 0.3907 0.8829 0.9607
20 Cl 0.4847 0.4847 0.3220
21 Cl 0.5000 0.0000 0.5000
22 Cl 0.5153 0.5153 0.6780
23 Cl 0.6093 0.1171 0.0393
24 Cl 0.6317 0.6317 0.2541
25 Cl 0.6530 0.1321 0.4591
26 Cl 0.7184 0.2816 0.0000
27 Cl 0.7413 0.7413 0.8086
28 Cl 0.8679 0.3470 0.5409
29 Cl 0.8829 0.3907 0.9607
30 Cl 0.9859 0.9859 0.3171

=====

This record from the Alexandria database describes crystalline KAc2PtO4 at its relaxed geometry. The functional is GGA-PBE.

As for the uncorrected formation energy: -2.179 eV per atom. As for the total magnetization: 0.0578 μB/atom. The density of states at the Fermi level is 1.36 states/eV/f.u.

Cell: 6.7702 6.7702 14.1931 Å, 90.00 90.00 147.68°
Sites, in units of the cell vectors:
1 K 0.1842 0.8158 0.7500
2 K 0.8158 0.1842 0.2500
3 Ac 0.3676 0.6324 0.5486
4 Ac 0.3676 0.6324 0.9514
5 Ac 0.6324 0.3676 0.0486
6 Ac 0.6324 0.3676 0.4514
7 Pt 0.0655 0.9345 0.2500
8 Pt 0.9345 0.0655 0.7500
9 O 0.0000 0.0000 0.0000
10 O 0.0000 0.0000 0.5000
11 O 0.2525 0.7475 0.0842
12 O 0.2525 0.7475 0.4158
13 O 0.4327 0.5673 0.7500
14 O 0.5673 0.4327 0.2500
15 O 0.7475 0.2525 0.5842
16 O 0.7475 0.2525 0.9158

=====

This record from the Alexandria database describes crystalline CsNa2AsPd at its relaxed geometry. The functional is GGA-PBE.

As for the total magnetization: 0.0000 μB/atom. The density of states at the Fermi level is 1.11 states/eV/f.u. The value obtained for the energy of formation is -0.25 eV/atom.

Cell: 5.6482 5.6482 4.9194 Å, 90.00 90.00 90.00°
Sites, in units of the cell vectors:
1 Cs 0.0000 0.0000 0.0000
2 Na 0.0000 0.5000 0.5000
3 Na 0.5000 0.0000 0.5000
4 As 0.5000 0.5000 0.5000
5 Pd 0.5000 0.5000 0.0000

=====

This record from the Alexandria database describes crystalline Li2YPb at its relaxed geometry. The functional is GGA-PBE.

As for the total magnetization: 0.0000 μB/atom. The density of states at the Fermi level is 2.13 states/eV/f.u. The value obtained for the energy of formation is -0.28 eV/atom.

Cell: 4.4400 4.4400 4.8927 Å, 90.00 90.00 90.00°
Sites, in units of the cell vectors:
1 Li 0.0000 0.5000 0.0000
2 Li 0.5000 0.0000 0.0000
3 Y 0.0000 0.0000 0.5000
4 Pb 0.5000 0.5000 0.5000

=====

This record from the Alexandria database describes crystalline ZnCd2Os at its relaxed geometry. The functional is GGA-PBE.

As for the total magnetization: 0.0001 μB/atom. The density of states at the Fermi level is 3.55 states/eV/f.u. The value obtained for the energy of formation is 0.40 eV/atom.

Cell: 5.5359 5.5359 5.5359 Å, 146.41 130.82 60.88°
Sites, in units of the cell vectors:
1 Zn 0.0000 0.0000 0.0000
2 Cd 0.2631 0.7631 0.5000
3 Cd 0.5399 0.5399 0.0000
4 Os 0.7908 0.2908 0.5000